## w
A plane-wave DFT calculation with SCAN was carried out for a crystal of KLiTl relaxed with PBEsol.

```
3
Lattice="5.270 0.000 0.000 2.635 4.564 0.000 2.635 1.521 4.303" Properties=species:S:1:pos:R:3 pbc="T T T"
Li 2.635 1.521 1.076
K 5.270 3.043 2.151
Tl 0.000 0.000 0.000
```

Computed properties:
The value obtained for the size of the total moment is 0.00 μB/f.u.


## x
A plane-wave DFT calculation with SCAN was carried out for a crystal of KLiTl relaxed with PBEsol.

```
3
Lattice="3.581 0.000 0.000 0.000 4.077 0.000 -1.791 -2.039 6.336" Properties=species:S:1:pos:R:3 pbc="T T T"
K 1.791 2.039 6.253
Li 1.791 2.039 2.731
Tl 0.000 0.000 3.689
```

Computed properties:
The value obtained for the size of the total moment is 0.00 μB/f.u.


Stability ranking, top entry: x; the second entry is 254 meV per atom less favorable.


## w
A plane-wave DFT calculation with SCAN was carried out for a crystal of KLiW2 relaxed with PBEsol.

```
4
Lattice="2.618 0.000 0.000 0.000 4.213 0.000 0.000 0.000 7.936" Properties=species:S:1:pos:R:3 pbc="T T T"
Li 1.309 2.107 6.563
K 0.000 0.000 3.885
W 0.000 0.000 0.131
W 1.309 2.107 1.326
```

Computed properties:
The value obtained for the size of the total moment is 0.00 μB/f.u.


## x
A plane-wave DFT calculation with SCAN was carried out for a crystal of KLiW2 relaxed with PBEsol.

```
4
Lattice="-1.300 -3.424 0.415 3.316 -1.119 1.158 -2.481 3.484 4.605" Properties=species:S:1:pos:R:3 pbc="T T T"
Li 0.000 0.000 0.000
W 0.921 0.047 3.275
W -1.387 -1.106 2.903
K 1.008 -2.271 0.786
```

Computed properties:
The value obtained for the size of the total moment is 0.00 μB/f.u.


## y
A plane-wave DFT calculation with SCAN was carried out for a crystal of KLiW2 relaxed with PBEsol.

```
4
Lattice="2.519 0.000 0.000 0.000 5.630 0.000 0.000 0.000 5.630" Properties=species:S:1:pos:R:3 pbc="T T T"
K 1.259 2.815 2.815
W 0.000 2.815 0.000
W 0.000 0.000 2.815
Li 1.259 0.000 0.000
```

Computed properties:
The value obtained for the size of the total moment is 1.93 μB/f.u.


Stability ranking, top entry: w; the second entry is 480 meV per atom less favorable.